The following is a DFT calculation (PBE) of an optimized crystal structure of PrSm5Er4.

E above lowest polymorph = 77 meV per atom
Energy of formation = 293 meV/atom

Cell lengths 10.2574, 10.2574, 6.3359 Å; angles 90.00, 90.00, 90.00 degrees
Space group I4 (No. 79)
Symmetry-distinct sites (fractional):
1 Pr 0.0000 0.0000 0.0000 x2
2 Sm 0.0000 0.0000 0.5422 x2
3 Sm 0.1468 0.2352 0.2706 x8
4 Er 0.0501 0.3497 0.7683 x8

=====

The following is a DFT calculation (PBE) of an optimized crystal structure of Sm4Hg2O.

E above lowest polymorph = 14 meV per atom
E_form (uncorrected) = -1.0435 eV/atom

Cell lengths 6.7690, 7.1003, 8.4608 Å; angles 90.00, 106.59, 90.00 degrees
Space group P2_1/m (No. 11)
Symmetry-distinct sites (fractional):
1 Sm 0.0210 0.0051 0.2720 x4
2 Sm 0.3749 0.7500 0.0644 x2
3 Sm 0.4282 0.7500 0.6319 x2
4 Hg 0.2101 0.2500 0.0288 x2
5 Hg 0.2795 0.2500 0.5954 x2
6 O 0.2106 0.7500 0.7929 x2

=====

The following is a DFT calculation (PBE) of an optimized crystal structure of Sm2Ga6Co9.

Energy of formation = -129 meV/atom

Cell lengths 5.1658, 5.1658, 11.5910 Å; angles 90.00, 90.00, 120.00 degrees
Space group P6/mmm (No. 191)
Symmetry-distinct sites (fractional):
1 Sm 0.0000 0.0000 0.1775 x2
2 Ga 0.3333 0.6667 0.1640 x4
3 Ga 0.3333 0.6667 0.5000 x2
4 Co 0.0000 0.5000 0.0000 x3
5 Co 0.0000 0.5000 0.3313 x6

=====

The following is a DFT calculation (PBE) of an optimized crystal structure of ICl2F.

E above lowest polymorph = 0 meV per atom
E_form (uncorrected) = -0.2696 eV/atom

Cell lengths 4.7464, 5.5323, 5.5426 Å; angles 91.37, 115.00, 90.00 degrees
Space group P1 (No. 1)
Symmetry-distinct sites (fractional):
1 I 0.0000 0.0000 0.0000 x1
2 Cl 0.2302 0.0072 0.4632 x1
3 Cl 0.9992 0.4999 0.9983 x1
4 F 0.5043 0.0005 0.0089 x1

=====

The following is a DFT calculation (PBE) of an optimized crystal structure of ReAgRh2.

E above lowest polymorph = 359 meV per atom
Energy of formation = 353 meV/atom

Cell lengths 2.7973, 4.6265, 9.5528 Å; angles 90.00, 90.00, 90.00 degrees
Space group Cmm2 (No. 35)
Symmetry-distinct sites (fractional):
1 Re 0.0000 0.0000 0.0000 x2
2 Ag 0.0000 0.5000 0.7334 x2
3 Rh 0.0000 0.0000 0.4770 x2
4 Rh 0.0000 0.5000 0.2325 x2

=====

The following is a DFT calculation (PBE) of an optimized crystal structure of TiTcRh6.

Energy of formation = -349 meV/atom

Cell lengths 5.4398, 5.4398, 3.8573 Å; angles 90.00, 90.00, 90.00 degrees
Space group P4/mmm (No. 123)
Symmetry-distinct sites (fractional):
1 Ti 0.0000 0.0000 0.0000 x1
2 Tc 0.5000 0.5000 0.0000 x1
3 Rh 0.0000 0.5000 0.0000 x2
4 Rh 0.2535 0.2535 0.5000 x4

=====

Record order is preserved below.
Calculated volume: 33.33 27.84 15.76 32.97 15.45 14.27 A^3/atom
Record order is preserved below.
N(E_F): 1.465 1.008 1.444 0.233 1.413 0.868 states/eV/atom